The following is a DFT calculation (PBE-GGA) of an optimized crystal structure of Sm12Co5Sn.

Properties
V	468.9	Å³ per cell
formation enthalpy at 0 K	-207	meV per atom
crystal system	orthorhombic
DOS at the Fermi energy	13.15	states/eV/cell
E_tot	-99.89	eV for the cell shown

Cell and atoms, written as extended XYZ:
```
18
Lattice="-8.4733 0.2997 0.1131 2.7170 -3.2452 -7.3475 2.9051 -4.9756 6.2212" Properties=species:S:1:pos:R:3 pbc="T T T"
Co -2.1569 -3.2551 3.0415
Sm 3.3881 -7.1262 -2.2820
Sm -2.9113 -3.9069 -2.5998
Co -0.6944 -4.6659 -4.0547
Co 0.0000 0.0000 0.0000
Co -3.5635 -1.8234 -4.4785
Sm -2.8845 -5.7004 0.5967
Sm 2.1344 -4.0869 -4.1117
Sm 2.1507 -7.0712 1.1677
Sm 0.0333 -2.2206 -1.6099
Sm -2.7319 -1.9415 0.5346
Sm -4.9857 -3.8341 3.0984
Sm 0.0601 -4.0142 1.5865
Sm -0.1193 -5.9795 -1.5478
Sm -5.0019 -0.8499 -2.1809
Sn 2.8110 -4.1104 -0.5632
Sm -6.2394 -0.7949 1.2688
Co -2.1928 -1.1220 -2.7559
```